# 1
VASP calculation (GGA-PBEsol) on a relaxed structure of MnNbZn2N.

Values from the calculation:
* density of states at the Fermi level: 3.3 states/eV per cell
* total magnetic moment: 2.26 μB per formula unit
* uncorrected formation energy: 8.03 eV/f.u.

```
data_MnNbZn2N
_chemical_formula_sum 'Mn1 Nb1 Zn2 N1'
_space_group_name_H-M_alt 'P 4/m m m'
_space_group_IT_number 123
_space_group_name_Hall '-P 4 2'
_cell_length_a 4.471
_cell_length_b 4.471
_cell_length_c 4.385
_cell_angle_alpha 90.00
_cell_angle_beta 90.00
_cell_angle_gamma 90.00
loop_
_atom_site_label
_atom_site_type_symbol
_atom_site_fract_x
_atom_site_fract_y
_atom_site_fract_z
Mn1 Mn 0.000 0.000 0.000
Nb1 Nb 0.000 0.000 0.500
Zn1 Zn 0.000 0.500 0.000
N1 N 0.500 0.500 0.500
```

---

# 2
VASP calculation (GGA-PBEsol) on a relaxed structure of YHg3.

Values from the calculation:
* density of states at the Fermi level: 9.4 states/eV per cell
* total magnetic moment: 0.00 μB per formula unit
* energy relative to the elements: -0.4353 eV per atom

```
data_YHg3
_chemical_formula_sum 'Y4 Hg12'
_space_group_name_H-M_alt 'I 4/m m m'
_space_group_IT_number 139
_space_group_name_Hall '-I 4 2'
_cell_length_a 4.520
_cell_length_b 4.520
_cell_length_c 17.839
_cell_angle_alpha 90.00
_cell_angle_beta 90.00
_cell_angle_gamma 90.00
loop_
_atom_site_label
_atom_site_type_symbol
_atom_site_fract_x
_atom_site_fract_y
_atom_site_fract_z
Y1 Y 0.000 0.000 0.126
Hg1 Hg 0.000 0.000 0.367
Hg2 Hg 0.000 0.500 0.000
Hg3 Hg 0.000 0.500 0.250
```

---

# 3
VASP calculation (GGA-PBEsol) on a relaxed structure of NaScReC2.

Values from the calculation:
* density of states at the Fermi level: 3.4 states/eV per cell
* total magnetic moment: 2.78 μB per formula unit
* energy relative to the elements: 2.5568 eV per atom

```
data_NaScReC2
_chemical_formula_sum 'Na1 Sc1 Re1 C2'
_space_group_name_H-M_alt 'P 4/m m m'
_space_group_IT_number 123
_space_group_name_Hall '-P 4 2'
_cell_length_a 4.335
_cell_length_b 4.335
_cell_length_c 4.891
_cell_angle_alpha 90.00
_cell_angle_beta 90.00
_cell_angle_gamma 90.00
loop_
_atom_site_label
_atom_site_type_symbol
_atom_site_fract_x
_atom_site_fract_y
_atom_site_fract_z
Na1 Na 0.000 0.000 0.000
Sc1 Sc 0.500 0.500 0.500
Re1 Re 0.500 0.500 0.000
C1 C 0.000 0.500 0.500
```

---

# 4
VASP calculation (GGA-PBEsol) on a relaxed structure of MgTaAl3.

Values from the calculation:
* density of states at the Fermi level: 4.2 states/eV per cell
* total magnetic moment: 0.00 μB per formula unit
* energy relative to the elements: 0.7990 eV per atom

```
data_MgTaAl3
_chemical_formula_sum 'Mg1 Ta1 Al3'
_space_group_name_H-M_alt 'P m -3 m'
_space_group_IT_number 221
_space_group_name_Hall '-P 4 2 3'
_cell_length_a 4.976
_cell_length_b 4.976
_cell_length_c 4.976
_cell_angle_alpha 90.00
_cell_angle_beta 90.00
_cell_angle_gamma 90.00
loop_
_atom_site_label
_atom_site_type_symbol
_atom_site_fract_x
_atom_site_fract_y
_atom_site_fract_z
Mg1 Mg 0.000 0.000 0.000
Ta1 Ta 0.500 0.500 0.500
Al1 Al 0.000 0.500 0.500
```

---

# 5
VASP calculation (GGA-PBEsol) on a relaxed structure of RbSrI3.

Values from the calculation:
* density of states at the Fermi level: 0.0 states/eV per cell
* total magnetic moment: 0.00 μB per formula unit
* uncorrected formation energy: -8.06 eV/f.u.

```
data_RbSrI3
_chemical_formula_sum 'Rb4 Sr4 I12'
_space_group_name_H-M_alt 'C m c m'
_space_group_IT_number 63
_space_group_name_Hall '-C 2c 2'
_cell_length_a 4.722
_cell_length_b 15.370
_cell_length_c 12.058
_cell_angle_alpha 90.00
_cell_angle_beta 90.00
_cell_angle_gamma 90.00
loop_
_atom_site_label
_atom_site_type_symbol
_atom_site_fract_x
_atom_site_fract_y
_atom_site_fract_z
Rb1 Rb 0.000 0.249 0.250
Sr1 Sr 0.000 0.500 0.000
I1 I 0.000 0.140 0.554
I2 I 0.000 0.428 0.750
```

---

# 6
VASP calculation (GGA-PBEsol) on a relaxed structure of CrInOs2Se.

Values from the calculation:
* density of states at the Fermi level: 7.1 states/eV per cell
* total magnetic moment: 0.68 μB per formula unit
* uncorrected formation energy: 13.14 eV/f.u.

```
data_CrInOs2Se
_chemical_formula_sum 'Cr1 In1 Os2 Se1'
_space_group_name_H-M_alt 'P 4/m m m'
_space_group_IT_number 123
_space_group_name_Hall '-P 4 2'
_cell_length_a 4.888
_cell_length_b 4.888
_cell_length_c 5.013
_cell_angle_alpha 90.00
_cell_angle_beta 90.00
_cell_angle_gamma 90.00
loop_
_atom_site_label
_atom_site_type_symbol
_atom_site_fract_x
_atom_site_fract_y
_atom_site_fract_z
Cr1 Cr 0.000 0.000 0.000
In1 In 0.500 0.500 0.500
Os1 Os 0.000 0.500 0.500
Se1 Se 0.500 0.500 0.000
```

---

# 7
VASP calculation (GGA-PBEsol) on a relaxed structure of CaZnIO2.

Values from the calculation:
* density of states at the Fermi level: 4.0 states/eV per cell
* total magnetic moment: 1.71 μB per formula unit
* uncorrected formation energy: -2.30 eV/f.u.

```
data_CaZnIO2
_chemical_formula_sum 'Ca1 Zn1 I1 O2'
_space_group_name_H-M_alt 'P 4/m m m'
_space_group_IT_number 123
_space_group_name_Hall '-P 4 2'
_cell_length_a 4.247
_cell_length_b 4.247
_cell_length_c 6.349
_cell_angle_alpha 90.00
_cell_angle_beta 90.00
_cell_angle_gamma 90.00
loop_
_atom_site_label
_atom_site_type_symbol
_atom_site_fract_x
_atom_site_fract_y
_atom_site_fract_z
Ca1 Ca 0.000 0.000 0.000
Zn1 Zn 0.500 0.500 0.500
I1 I 0.000 0.000 0.500
O1 O 0.000 0.500 0.000
```

---

# 8
VASP calculation (GGA-PBEsol) on a relaxed structure of MnNi2Pt.

Values from the calculation:
* density of states at the Fermi level: 19.3 states/eV per cell
* total magnetic moment: 2.44 μB per formula unit
* energy relative to the elements: 0.0680 eV per atom

```
data_MnNi2Pt
_chemical_formula_sum 'Mn3 Ni6 Pt3'
_space_group_name_H-M_alt 'R -3 m'
_space_group_IT_number 166
_space_group_name_Hall '-R 3 2"'
_cell_length_a 2.5910
_cell_length_b 2.5910
_cell_length_c 24.5678
_cell_angle_alpha 90.00
_cell_angle_beta 90.00
_cell_angle_gamma 120.00
loop_
_atom_site_label
_atom_site_type_symbol
_atom_site_fract_x
_atom_site_fract_y
_atom_site_fract_z
Mn1 Mn 0.0000 0.0000 0.0000
Ni1 Ni 0.0000 0.0000 0.2558
Pt1 Pt 0.0000 0.0000 0.5000
```

---

# 9
VASP calculation (GGA-PBEsol) on a relaxed structure of RbZnSClO4.

Values from the calculation:
* density of states at the Fermi level: 0.0 states/eV per cell
* total magnetic moment: 0.00 μB per formula unit
* uncorrected formation energy: -13.03 eV/f.u.

```
data_RbZnSClO4
_chemical_formula_sum 'Rb4 Zn4 S4 Cl4 O16'
_space_group_name_H-M_alt 'P 1 21/c 1'
_space_group_IT_number 14
_cell_length_a 7.196
_cell_length_b 9.648
_cell_length_c 8.405
_cell_angle_alpha 90.00
_cell_angle_beta 96.10
_cell_angle_gamma 90.00
loop_
_space_group_symop_operation_xyz
'x,y,z'
'-x,-y,-z'
'-x,y+1/2,-z+1/2'
'x,-y+1/2,z+1/2'
loop_
_atom_site_label
_atom_site_type_symbol
_atom_site_fract_x
_atom_site_fract_y
_atom_site_fract_z
Rb1 Rb 0.135 0.078 0.303
Zn1 Zn 0.404 0.695 0.457
S1 S 0.400 0.072 0.735
Cl1 Cl 0.122 0.680 0.528
O1 O 0.215 0.058 0.647
O2 O 0.388 0.169 0.873
O3 O 0.459 0.624 0.869
O4 O 0.479 0.564 0.296
```

---

# 10
VASP calculation (GGA-PBEsol) on a relaxed structure of ZrRuSCl2.

Values from the calculation:
* density of states at the Fermi level: 2.6 states/eV per cell
* total magnetic moment: 2.92 μB per formula unit
* uncorrected formation energy: 0.39 eV/f.u.

```
data_ZrRuSCl2
_chemical_formula_sum 'Zr1 Ru1 S1 Cl2'
_space_group_name_H-M_alt 'P 4/m m m'
_space_group_IT_number 123
_space_group_name_Hall '-P 4 2'
_cell_length_a 4.870
_cell_length_b 4.870
_cell_length_c 4.932
_cell_angle_alpha 90.00
_cell_angle_beta 90.00
_cell_angle_gamma 90.00
loop_
_atom_site_label
_atom_site_type_symbol
_atom_site_fract_x
_atom_site_fract_y
_atom_site_fract_z
Zr1 Zr 0.000 0.000 0.000
Ru1 Ru 0.500 0.500 0.500
S1 S 0.000 0.000 0.500
Cl1 Cl 0.000 0.500 0.000
```

---

| no. | raw total energy (eV per cell) |
| --- | --- |
| 1 | -24.2 |
| 2 | -41.1 |
| 3 | -27.8 |
| 4 | -22.5 |
| 5 | -64.9 |
| 6 | -28.4 |
| 7 | -18.3 |
| 8 | -86.3 |
| 9 | -172.1 |
| 10 | -27.3 |